TlGeC3 | Alexandria via LeMat-Bulk | PBE | optimized geometry; total magnetization = 0.0000 μB per atom; mass density = 7.61 g/cm³; N(E_F) = 4.18 states/eV per cell; ΔE to the lowest computed polymorph = 0 meV/atom; energy of formation from the pure elements = 2.59 eV per atom; final energy = -4.336 eV/atom; symmetry = Pm-3m (221)
1.0
4.087 0.000 0.000
0.000 4.087 0.000
0.000 0.000 4.087
C Tl Ge
3 1 1
Direct
0.000 0.000 0.500
0.500 0.000 0.000
0.000 0.500 0.000
0.500 0.500 0.500
0.000 0.000 0.000

=====

TlGeC2 | Alexandria via LeMat-Bulk | PBE | optimized geometry; total magnetization = 0.0000 μB per atom; mass density = 8.26 g/cm³; N(E_F) = 4.69 states/eV per cell; ΔE to the lowest computed polymorph = 0 meV/atom; energy of formation from the pure elements = 1.27 eV per atom; final energy = -5.087 eV/atom; symmetry = I-42d (122)
1.0
-2.496 -4.356 0.143
1.856 -0.913 4.576
-4.089 -0.409 4.332
C Tl Ge
4 2 2
Direct
0.570 0.125 0.250
0.180 0.625 0.250
0.375 0.430 0.750
0.875 0.820 0.750
0.750 0.250 0.500
0.000 0.000 0.000
0.250 0.750 0.500
0.500 0.500 0.000

=====

Tl3GeC | Alexandria via LeMat-Bulk | PBE | optimized geometry; total magnetization = 0.4419 μB per atom; mass density = 6.50 g/cm³; N(E_F) = 2.26 states/eV per cell; ΔE to the lowest computed polymorph = 475 meV/atom; energy of formation from the pure elements = 1.57 eV per atom; final energy = -2.620 eV/atom; symmetry = Pm-3m (221)
1.0
-1.561 -3.784 3.864
5.101 0.307 2.360
-1.797 4.156 3.344
Ge Tl C
1 3 1
Direct
0.000 0.000 0.000
0.500 0.000 0.000
0.000 0.500 0.000
0.000 0.000 0.500
0.500 0.500 0.500

=====

ZrTlGeC2 | Alexandria via LeMat-Bulk | PBE | optimized geometry; total magnetization = 0.0000 μB per atom; mass density = 6.19 g/cm³; N(E_F) = 2.93 states/eV per cell; energy of formation from the pure elements = 2.47 eV per atom; final energy = -4.330 eV/atom; symmetry = P4/mmm (123)
1.0
-3.778 -1.720 -0.975
-0.318 -2.304 5.297
-1.963 3.513 1.410
Zr C Tl Ge
1 2 1 1
Direct
0.000 0.500 0.000
0.500 0.000 0.000
0.000 0.000 0.500
0.000 0.000 0.000
0.500 0.500 0.500

=====

Tm4Ge2C | Alexandria via LeMat-Bulk | PBE | optimized geometry; total magnetization = 0.0000 μB per atom; mass density = 8.67 g/cm³; N(E_F) = 1.45 states/eV per cell; ΔE to the lowest computed polymorph = 0 meV/atom; energy of formation from the pure elements = -0.68 eV per atom; final energy = -5.873 eV/atom; symmetry = Cmce (64)
1.0
1.669 -1.287 -6.154
4.631 -4.193 2.133
-5.773 -4.902 2.897
Tm C Ge
8 2 4
Direct
0.833 0.967 0.665
0.167 0.033 0.335
0.333 0.533 0.665
0.741 0.250 0.983
0.667 0.467 0.335
0.759 0.750 0.017
0.259 0.750 0.017
0.241 0.250 0.983
0.500 0.500 0.000
0.000 0.000 0.000
0.137 0.487 0.274
0.363 0.987 0.726
0.637 0.013 0.274
0.863 0.513 0.726

=====

Tm4Ge2C | Alexandria via LeMat-Bulk | PBE | optimized geometry; total magnetization = 0.0002 μB per atom; mass density = 9.31 g/cm³; N(E_F) = 6.30 states/eV per cell; ΔE to the lowest computed polymorph = 64 meV/atom; energy of formation from the pure elements = -0.62 eV per atom; final energy = -5.809 eV/atom; symmetry = C2/m (12)
1.0
3.918 0.000 0.000
0.000 8.076 -0.538
-1.959 -4.608 5.001
Tm Ge C
4 2 1
Direct
0.080 0.815 0.160
0.660 0.247 0.320
0.920 0.185 0.840
0.340 0.753 0.680
0.374 0.408 0.748
0.626 0.592 0.252
0.000 0.000 0.000

=====

Tm5Ge2C | Alexandria via LeMat-Bulk | PBE | optimized geometry; total magnetization = 0.0470 μB per atom; mass density = 8.01 g/cm³; N(E_F) = 11.07 states/eV per cell; energy of formation from the pure elements = -0.31 eV per atom; final energy = -5.410 eV/atom; symmetry = Cmcm (63)
1.0
5.488 0.000 0.000
-2.744 5.845 0.000
0.000 0.000 12.957
Ge Tm C
4 10 2
Direct
0.822 0.645 0.067
0.178 0.355 0.567
0.822 0.645 0.433
0.178 0.355 0.933
0.658 0.317 0.890
0.943 0.886 0.876
0.057 0.114 0.376
0.342 0.683 0.110
0.057 0.114 0.124
0.699 0.398 0.250
0.342 0.683 0.390
0.658 0.317 0.610
0.943 0.886 0.624
0.301 0.602 0.750
0.797 0.594 0.750
0.203 0.406 0.250

=====

Tm12Ge6C | Alexandria via LeMat-Bulk | PBE | optimized geometry; total magnetization = 0.0000 μB per atom; mass density = 8.32 g/cm³; N(E_F) = 13.67 states/eV per cell; energy of formation from the pure elements = -0.53 eV per atom; final energy = -5.297 eV/atom; symmetry = R-3 (148)
1.0
-3.618 3.126 -6.426
6.047 -3.727 -3.701
-4.798 -6.309 1.149
Tm Ge C
12 6 1
Direct
0.812 0.572 0.438
0.438 0.812 0.572
0.562 0.188 0.428
0.572 0.438 0.812
0.029 0.695 0.931
0.695 0.931 0.029
0.931 0.029 0.695
0.971 0.305 0.069
0.188 0.428 0.562
0.305 0.069 0.971
0.428 0.562 0.188
0.069 0.971 0.305
0.623 0.294 0.124
0.377 0.706 0.876
0.876 0.377 0.706
0.124 0.623 0.294
0.294 0.124 0.623
0.706 0.876 0.377
0.000 0.000 0.000

=====

Tm4Ge2C | Alexandria via LeMat-Bulk | PBE | optimized geometry; total magnetization = 0.0000 μB per atom; mass density = 8.46 g/cm³; N(E_F) = 5.55 states/eV per cell; ΔE to the lowest computed polymorph = 434 meV/atom; energy of formation from the pure elements = -0.25 eV per atom; final energy = -5.438 eV/atom; symmetry = I4/mmm (139)
1.0
-1.608 -1.333 4.051
1.093 -4.314 -0.985
6.861 -1.745 4.714
Tm C Ge
4 1 2
Direct
0.323 0.323 0.355
0.500 0.000 0.000
0.677 0.677 0.645
0.000 0.500 0.000
0.000 0.000 0.000
0.862 0.862 0.277
0.138 0.138 0.723

=====

Tm8Ge2C3 | Alexandria via LeMat-Bulk | PBE | optimized geometry; total magnetization = 0.0000 μB per atom; mass density = 8.50 g/cm³; N(E_F) = 7.34 states/eV per cell; energy of formation from the pure elements = -0.43 eV per atom; final energy = -6.018 eV/atom; symmetry = C2/m (12)
1.0
6.263 0.000 0.156
0.000 7.152 0.000
-2.341 -3.576 6.625
Ge Tm C
2 8 3
Direct
0.675 0.745 0.489
0.325 0.255 0.511
0.096 0.903 0.805
0.926 0.604 0.207
0.604 0.139 0.800
0.074 0.396 0.793
0.604 0.661 0.800
0.396 0.339 0.200
0.904 0.097 0.195
0.396 0.861 0.200
0.000 0.257 0.000
0.000 0.743 0.000
0.500 0.000 0.000

=====

Tm6Ge2C | Alexandria via LeMat-Bulk | PBE | optimized geometry; total magnetization = 0.1889 μB per atom; mass density = 8.05 g/cm³; N(E_F) = 18.73 states/eV per cell; energy of formation from the pure elements = -0.32 eV per atom; final energy = -5.357 eV/atom; symmetry = P4_2/mnm (136)
1.0
-5.002 1.380 3.604
-3.800 -2.790 -4.206
1.290 -10.536 5.825
Tm C Ge
12 2 4
Direct
0.809 0.191 0.141
0.721 0.721 0.000
0.691 0.691 0.641
0.779 0.221 0.500
0.809 0.191 0.859
0.309 0.309 0.641
0.191 0.809 0.141
0.279 0.279 0.000
0.691 0.691 0.359
0.221 0.779 0.500
0.191 0.809 0.859
0.309 0.309 0.359
0.500 0.500 0.500
0.000 0.000 0.000
0.500 0.500 0.173
0.500 0.500 0.827
0.000 0.000 0.327
0.000 0.000 0.673

=====

Tm7Ge4C | Alexandria via LeMat-Bulk | PBE | optimized geometry; total magnetization = 0.0000 μB per atom; mass density = 8.36 g/cm³; N(E_F) = 6.04 states/eV per cell; energy of formation from the pure elements = -0.47 eV per atom; final energy = -5.390 eV/atom; symmetry = C2/m (12)
1.0
4.793 0.000 0.000
2.397 8.329 0.215
2.397 0.639 7.408
Tm C Ge
7 1 4
Direct
0.361 0.546 0.733
0.065 0.742 0.127
0.639 0.454 0.267
0.500 0.000 0.000
0.780 0.859 0.581
0.220 0.141 0.419
0.935 0.258 0.873
0.000 0.000 0.000
0.723 0.652 0.903
0.415 0.781 0.388
0.585 0.219 0.612
0.277 0.348 0.097

=====

Tm4GeC | Alexandria via LeMat-Bulk | PBE | optimized geometry; total magnetization = 0.1809 μB per atom; mass density = 8.93 g/cm³; N(E_F) = 11.47 states/eV per cell; energy of formation from the pure elements = -0.39 eV per atom; final energy = -5.680 eV/atom; symmetry = C2/c (15)
1.0
6.213 -0.291 0.000
-1.340 6.722 0.000
-2.436 -3.216 6.836
Tm C Ge
8 2 2
Direct
0.022 0.812 0.092
0.978 0.188 0.908
0.569 0.279 0.092
0.431 0.721 0.908
0.190 0.344 0.404
0.714 0.060 0.404
0.810 0.656 0.596
0.286 0.940 0.596
0.815 0.065 0.131
0.185 0.935 0.869
0.632 0.382 0.764
0.368 0.618 0.236

=====

Tm2GeC | Alexandria via LeMat-Bulk | PBE | optimized geometry; total magnetization = 0.0019 μB per atom; mass density = 7.78 g/cm³; N(E_F) = 3.69 states/eV per cell; energy of formation from the pure elements = -0.15 eV per atom; final energy = -5.844 eV/atom; symmetry = R-3m (166)
1.0
3.522 0.000 0.000
1.761 3.050 0.000
1.761 1.017 8.400
Tm C Ge
2 1 1
Direct
0.885 0.885 0.346
0.115 0.115 0.654
0.500 0.500 0.500
0.000 0.000 0.000

=====

Y2TmGeC | Alexandria via LeMat-Bulk | PBE | optimized geometry; total magnetization = 0.0000 μB per atom; mass density = 6.49 g/cm³; N(E_F) = 2.07 states/eV per cell; energy of formation from the pure elements = -0.56 eV per atom; final energy = -6.808 eV/atom; symmetry = P4/mmm (123)
1.0
4.744 0.000 0.000
0.000 4.825 0.000
0.000 0.000 4.825
C Y Ge Tm
1 2 1 1
Direct
0.000 0.000 0.000
0.000 0.500 0.000
0.000 0.000 0.500
0.500 0.500 0.500
0.500 0.000 0.000

=====

U5Ge2C2 | Alexandria via LeMat-Bulk | PBE | optimized geometry; total magnetization = 0.0046 μB per atom; mass density = 13.80 g/cm³; N(E_F) = 37.12 states/eV per cell; energy of formation from the pure elements = -0.04 eV per atom; final energy = -9.387 eV/atom; symmetry = Cmce (64)
1.0
6.739 0.000 0.000
0.000 6.770 0.000
0.000 -3.385 7.173
U C Ge
10 4 4
Direct
0.635 0.022 0.777
0.135 0.478 0.223
0.365 0.978 0.223
0.635 0.245 0.223
0.135 0.255 0.777
0.365 0.755 0.777
0.500 0.500 0.000
0.865 0.745 0.223
0.000 0.000 0.000
0.865 0.522 0.777
0.337 0.163 0.000
0.163 0.663 0.000
0.663 0.837 0.000
0.837 0.337 0.000
0.000 0.793 0.585
0.500 0.293 0.585
0.000 0.207 0.415
0.500 0.707 0.415

=====

U6Ge2C | Alexandria via LeMat-Bulk | PBE | optimized geometry; total magnetization = 0.0007 μB per atom; mass density = 15.43 g/cm³; N(E_F) = 38.74 states/eV per cell; energy of formation from the pure elements = -0.16 eV per atom; final energy = -9.740 eV/atom; symmetry = C2/m (12)
1.0
5.990 0.000 -0.354
0.000 6.071 0.000
-0.026 0.000 9.383
Ge U C
4 12 2
Direct
0.034 0.500 0.264
0.466 0.000 0.236
0.534 0.000 0.764
0.966 0.500 0.736
0.787 0.229 0.023
0.287 0.271 0.523
0.213 0.229 0.977
0.713 0.729 0.477
0.787 0.771 0.023
0.963 0.000 0.250
0.537 0.500 0.250
0.287 0.729 0.523
0.713 0.271 0.477
0.037 0.000 0.750
0.213 0.771 0.977
0.463 0.500 0.750
0.500 0.500 0.000
0.000 0.000 0.500

=====

UGeC2 | Alexandria via LeMat-Bulk | PBE | optimized geometry; total magnetization = 0.0002 μB per atom; mass density = 8.30 g/cm³; N(E_F) = 3.48 states/eV per cell; energy of formation from the pure elements = 0.61 eV per atom; final energy = -7.981 eV/atom; symmetry = R-3m (166)
1.0
-0.967 -3.088 -1.822
-0.374 -3.202 1.843
-5.860 -0.940 0.918
C Ge U
2 1 1
Direct
0.888 0.888 0.337
0.112 0.112 0.663
0.000 0.000 0.000
0.500 0.500 0.500

=====

V6Ge3C | Alexandria via LeMat-Bulk | PBE | optimized geometry; total magnetization = 0.0000 μB per atom; mass density = 6.19 g/cm³; N(E_F) = 7.91 states/eV per cell; energy of formation from the pure elements = -0.09 eV per atom; final energy = -7.867 eV/atom; symmetry = C2/m (12)
1.0
-0.884 3.620 -5.681
1.098 -2.355 -4.870
-3.876 -1.577 -3.600
V Ge C
6 3 1
Direct
0.377 0.159 0.651
0.623 0.841 0.349
0.377 0.651 0.159
0.623 0.349 0.841
0.187 0.712 0.712
0.813 0.288 0.288
0.784 0.755 0.755
0.216 0.245 0.245
0.000 0.000 0.000
0.500 0.500 0.500

=====

V7Ge2C2 | Alexandria via LeMat-Bulk | PBE | optimized geometry; total magnetization = 0.0000 μB per atom; mass density = 6.55 g/cm³; N(E_F) = 6.82 states/eV per cell; energy of formation from the pure elements = -0.26 eV per atom; final energy = -8.576 eV/atom; symmetry = Imm2 (44)
1.0
-0.459 0.462 2.908
3.156 -6.008 2.980
6.929 -0.057 2.629
V C Ge
7 2 2
Direct
0.834 0.442 0.889
0.638 0.466 0.258
0.818 0.081 0.283
0.182 0.717 0.919
0.500 0.015 0.985
0.166 0.111 0.558
0.362 0.742 0.534
0.746 0.848 0.660
0.254 0.340 0.152
0.000 0.738 0.262
0.500 0.353 0.647